First-principles (GGA-PBE) data for a relaxed structure of Zn2PAu, as listed in Alexandria.

Cell lengths 3.9104, 3.9104, 8.4601 Å; angles 90.00, 90.00, 90.00 degrees
Closest atoms and distances in Å follow each position.
Space group I-4m2 (No. 119)
Asymmetric unit:
Zn: 0.0000 0.0000 0.0000  4 P 2.77, 4 Au 2.88, 4 Zn 2.88
Zn: 0.0000 0.5000 0.2500  4 Au 2.77, 4 P 2.88, 4 Zn 2.88
P: 0.0000 0.0000 0.5000  8 Zn 2.77-2.88, 4 Au 2.88
Au: 0.0000 0.5000 0.7500  8 Zn 2.77-2.88, 4 P 2.88

Properties
Size of the total moment = 0.00 Bohr magnetons per cell
Energy relative to the elements = 0.148 eV per atom
Fermi-level density of states = 1.33 states/eV/f.u.
Calculated volume = 129 Å³ per cell